# NaTbPb2, optimized geometry, DFT PBE-GGA
data_NaTbPb2
_chemical_formula_sum 'Na1 Tb1 Pb2'
_cell_length_a 3.506
_cell_length_b 3.506
_cell_length_c 9.466
_cell_angle_alpha 90.00
_cell_angle_beta 90.00
_cell_angle_gamma 90.00
_space_group_name_H-M_alt 'P 4/m m m'
_space_group_IT_number 123
_space_group_name_Hall '-P 4 2'
loop_
_atom_site_label
_atom_site_type_symbol
_atom_site_fract_x
_atom_site_fract_y
_atom_site_fract_z
Na1 Na 0.000 0.000 0.000
Tb1 Tb 0.000 0.000 0.500
Pb1 Pb 0.500 0.500 0.257
# Raw total energy in eV per cell: -14.63